Entry 1:
Material: ZrAg2Au
Method: DFT, GGA-PBE
State: optimized geometry

Lattice parameters (Å, degrees): 4.163 4.180 8.708 90.00 90.00 90.00
Space group Cmmm (No. 65)
One atom of each set of equivalent atoms:
Zr: 0.000 0.000 0.000 x2
Ag: 0.000 0.500 0.259 x4
Au: 0.000 0.000 0.500 x2

## Properties
energy of formation from the pure elements	-0.20	eV/f.u.

***

Entry 2:
Material: YSc2CuPb
Method: DFT, GGA-PBE
State: optimized geometry

Lattice parameters (Å, degrees): 5.261 5.261 5.743 90.00 90.00 90.00
Space group P4/mmm (No. 123)
One atom of each set of equivalent atoms:
Y: 0.000 0.000 0.000 x1
Sc: 0.000 0.500 0.000 x2
Cu: 0.500 0.500 0.500 x1
Pb: 0.000 0.000 0.500 x1

## Properties
energy of formation from the pure elements	5.78	eV/f.u.

***

Entry 3:
Material: La8POs3Br4
Method: DFT, GGA-PBE
State: optimized geometry

Lattice parameters (Å, degrees): 8.4810 8.4810 23.3729 90.00 90.00 120.00
Space group R-3m (No. 166, hexagonal axes)
One atom of each set of equivalent atoms:
La: 0.0000 0.0000 0.2350 x6
La: 0.0121 0.5060 0.7688 x18
P: 0.0000 0.0000 0.5000 x3
Os: 0.0000 0.5000 0.5000 x9
Br: 0.0000 0.0000 0.0000 x3
Br: 0.0000 0.5000 0.0000 x9

## Properties
formation energy from raw total energies	-98	kJ per mole of atoms

***

| no. | size of the total moment (Bohr magnetons per cell) | E_tot (eV per atom) |
| --- | --- | --- |
| 1 | 0.0 | -4.431 |
| 2 | 0.0 | -4.231 |
| 3 | 0.0 | -6.340 |